(1)
CaHg2Mo | meta-GGA SCAN | single point on PBEsol structure

Output
The volume is 80 Å³/f.u. For the distance to the lowest polymorph of the same formula, the calculation gives 0.7 kJ per mole of atoms. The calculation puts the density of states at the Fermi level at 0.9 states/eV/f.u. For the formation energy from the elements, the calculation gives 4.4 kcal/mol of atoms. As for the magnetization: 0.0000 μB per atom.

a b c (Å): 3.1766 5.0088 5.0092
angles (deg): 90.00 90.01 90.00
Positions (direct):
Mo: 0.3749 0.0000 0.3766
Ca: 0.3750 0.5000 0.8724
Hg: 0.8749 0.0000 0.8778
Hg: 0.8752 0.5000 0.3732

---

(2)
Ca2HgMo | meta-GGA SCAN | single point on PBEsol structure

Output
The volume is 96 Å³/f.u. The calculation puts the density of states at the Fermi level at 3.2 states/eV/f.u. For the formation energy from the elements, the calculation gives 8.5 kcal/mol of atoms. As for the magnetization: 0.3968 μB per atom.

a b c (Å): 3.2471 5.2742 6.3812
angles (deg): 114.41 104.74 90.00
Each line ends with the local moment (μB).
Positions (direct):
Mo: 0.2249 0.7249 0.4498  1.57
Ca: 0.9780 0.9780 0.9561  -0.02
Ca: 0.7732 0.2732 0.5464  -0.01
Hg: 0.5238 0.5238 0.0477  -0.02